A plane-wave DFT calculation with PBE-GGA was carried out for a relaxed structure of PaMnW.

The value obtained for the theoretical density is 14.943 g cm⁻³. Its total energy is -62.32 eV per cell. As for the energy above the most stable polymorph in this dataset: 0.000 eV per formula unit. The calculated volume is 104 Å³/cell.

The space group is I4mm (No. 107) and the conventional cell measures 3.000, 3.000 and 11.602 Å, with angles of 90.00, 90.00 and 90.00 degrees. The distinct sites, in fractional coordinates, are Pa at (0.000, 0.000, 0.000), Mn at (0.000, 0.000, 0.681) and W at (0.000, 0.000, 0.295).



A plane-wave DFT calculation with PBE-GGA was carried out for a relaxed structure of PaMnW.

The value obtained for the theoretical density is 15.079 g cm⁻³. Its total energy is -30.30 eV per cell. As for the energy above the most stable polymorph in this dataset: 0.855 eV per formula unit. The calculated volume is 52 Å³/cell.

The space group is P3m1 (No. 156) and the conventional cell measures 4.5198, 4.5198 and 2.9243 Å, with angles of 90.00, 90.00 and 120.00 degrees. The distinct sites, in fractional coordinates, are Pa at (0.0000, 0.0000, 0.0000), Mn at (0.6667, 0.3333, 0.7162) and W at (0.3333, 0.6667, 0.3057).



A plane-wave DFT calculation with PBE-GGA was carried out for a relaxed structure of PaMn2W.

The value obtained for the theoretical density is 13.854 g cm⁻³. Its total energy is -40.45 eV per cell. As for the energy above the most stable polymorph in this dataset: 0.000 eV per formula unit. The calculated volume is 63 Å³/cell.

The space group is P4/mmm (No. 123) and the conventional cell measures 2.976, 2.976 and 7.103 Å, with angles of 90.00, 90.00 and 90.00 degrees. The distinct sites, in fractional coordinates, are Pa at (0.000, 0.000, 0.000), Mn at (0.500, 0.500, 0.297) and W at (0.000, 0.000, 0.500).



A plane-wave DFT calculation with PBE-GGA was carried out for a relaxed structure of Pa2Mn16W.

The value obtained for the theoretical density is 10.076 g cm⁻³. Its total energy is -536.20 eV per cell. The calculated volume is 754 Å³/cell.

The space group is R3m (No. 160, hexagonal axes) and the conventional cell measures 8.6352, 8.6352 and 11.6753 Å, with angles of 90.00, 90.00 and 120.00 degrees. The distinct sites, in fractional coordinates, are Pa at (0.0000, 0.0000, 0.0000), Pa at (0.0000, 0.0000, 0.2884), Mn at (0.0000, 0.0000, 0.7532), Mn at (0.0004, 0.2759, 0.6486), Mn at (0.0061, 0.5031, 0.5094), Mn at (0.1686, 0.3371, 0.1138), Mn at (0.1689, 0.3379, 0.4810) and W at (0.0000, 0.0000, 0.5441).



Question: What is the formula in the second record?
Answer: PaMnW



Question: Look up the theoretical density of the third one.
Answer: 13.854 g cm⁻³



Question: The lowest calculated volume belongs to which entry?
Answer: number 2